Entry 1:
# BeTlTe2N (GGA-PBE, optimized geometry)
# Total DFT energy (no corrections), eV for the cell shown: -12.64
# N(E_F), states/eV/f.u.: 4.32
# ρ, g/cm³: 5.5
# Formation energy from raw total energies, eV/atom: 1.612
# Crystal system: tetragonal
# Energy above the most stable polymorph in this dataset, meV per atom: 1343
data_BeTlTe2N
_chemical_formula_sum 'Be1 Tl1 Te2 N1'
_cell_length_a 5.905
_cell_length_b 5.905
_cell_length_c 4.177
_cell_angle_alpha 90.00
_cell_angle_beta 90.00
_cell_angle_gamma 90.00
_space_group_name_H-M_alt 'P 4/m m m'
_space_group_IT_number 123
_space_group_name_Hall '-P 4 2'
loop_
_atom_site_label
_atom_site_type_symbol
_atom_site_fract_x
_atom_site_fract_y
_atom_site_fract_z
Be1 Be 0.000 0.000 0.000
Tl1 Tl 0.500 0.500 0.500
Te1 Te 0.000 0.500 0.500
N1 N 0.500 0.500 0.000

***

Entry 2:
# BeTlTe2N (GGA-PBE, optimized geometry)
# Total DFT energy (no corrections), eV for the cell shown: -19.35
# N(E_F), states/eV/f.u.: 2.94
# ρ, g/cm³: 7.1
# Formation energy from raw total energies, eV/atom: 0.269
# Crystal system: tetragonal
# Energy above the most stable polymorph in this dataset, meV per atom: 0
data_BeTlTe2N
_chemical_formula_sum 'Be1 Tl1 Te2 N1'
_cell_length_a 6.005
_cell_length_b 6.005
_cell_length_c 3.145
_cell_angle_alpha 90.00
_cell_angle_beta 90.00
_cell_angle_gamma 90.00
_space_group_name_H-M_alt 'P 4/m m m'
_space_group_IT_number 123
_space_group_name_Hall '-P 4 2'
loop_
_atom_site_label
_atom_site_type_symbol
_atom_site_fract_x
_atom_site_fract_y
_atom_site_fract_z
Be1 Be 0.000 0.000 0.000
Tl1 Tl 0.500 0.500 0.500
Te1 Te 0.000 0.500 0.000
N1 N 0.000 0.000 0.500

***

Entry 3:
# BeVTeN2 (GGA-PBE, optimized geometry)
# Total DFT energy (no corrections), eV for the cell shown: -26.11
# N(E_F), states/eV/f.u.: 4.32
# ρ, g/cm³: 5.3
# Formation energy from raw total energies, eV/atom: 1.306
# Crystal system: tetragonal
# Energy above the most stable polymorph in this dataset, meV per atom: 828
data_BeVTeN2
_chemical_formula_sum 'Be1 V1 Te1 N2'
_cell_length_a 3.640
_cell_length_b 3.640
_cell_length_c 5.061
_cell_angle_alpha 90.00
_cell_angle_beta 90.00
_cell_angle_gamma 90.00
_space_group_name_H-M_alt 'P 4/m m m'
_space_group_IT_number 123
_space_group_name_Hall '-P 4 2'
loop_
_atom_site_label
_atom_site_type_symbol
_atom_site_fract_x
_atom_site_fract_y
_atom_site_fract_z
Be1 Be 0.000 0.000 0.000
V1 V 0.500 0.500 0.500
Te1 Te 0.000 0.000 0.500
N1 N 0.000 0.500 0.000

***

Entry 4:
# BeVTe2N (GGA-PBE, optimized geometry)
# Total DFT energy (no corrections), eV for the cell shown: -25.15
# N(E_F), states/eV/f.u.: 4.48
# ρ, g/cm³: 5.3
# Formation energy from raw total energies, eV/atom: 0.461
# Crystal system: tetragonal
# Energy above the most stable polymorph in this dataset, meV per atom: 0
data_BeVTe2N
_chemical_formula_sum 'Be1 V1 Te2 N1'
_cell_length_a 5.325
_cell_length_b 5.325
_cell_length_c 3.605
_cell_angle_alpha 90.00
_cell_angle_beta 90.00
_cell_angle_gamma 90.00
_space_group_name_H-M_alt 'P 4/m m m'
_space_group_IT_number 123
_space_group_name_Hall '-P 4 2'
loop_
_atom_site_label
_atom_site_type_symbol
_atom_site_fract_x
_atom_site_fract_y
_atom_site_fract_z
Be1 Be 0.000 0.000 0.000
V1 V 0.500 0.500 0.500
Te1 Te 0.000 0.500 0.500
N1 N 0.500 0.500 0.000

***

Entry 5:
# BeVTe2N (GGA-PBE, optimized geometry)
# Total DFT energy (no corrections), eV for the cell shown: -24.64
# N(E_F), states/eV/f.u.: 8.00
# ρ, g/cm³: 6.3
# Formation energy from raw total energies, eV/atom: 0.564
# Crystal system: tetragonal
# Energy above the most stable polymorph in this dataset, meV per atom: 103
data_BeVTe2N
_chemical_formula_sum 'Be1 V1 Te2 N1'
_cell_length_a 5.322
_cell_length_b 5.322
_cell_length_c 3.045
_cell_angle_alpha 90.00
_cell_angle_beta 90.00
_cell_angle_gamma 90.00
_space_group_name_H-M_alt 'P 4/m m m'
_space_group_IT_number 123
_space_group_name_Hall '-P 4 2'
loop_
_atom_site_label
_atom_site_type_symbol
_atom_site_fract_x
_atom_site_fract_y
_atom_site_fract_z
Be1 Be 0.000 0.000 0.000
V1 V 0.500 0.500 0.500
Te1 Te 0.000 0.500 0.000
N1 N 0.000 0.000 0.500

***

Entry 6:
# BeVTeN2 (GGA-PBE, optimized geometry)
# Total DFT energy (no corrections), eV for the cell shown: -30.25
# N(E_F), states/eV/f.u.: 2.16
# ρ, g/cm³: 4.6
# Formation energy from raw total energies, eV/atom: 0.478
# Crystal system: tetragonal
# Energy above the most stable polymorph in this dataset, meV per atom: 0
data_BeVTeN2
_chemical_formula_sum 'Be1 V1 Te1 N2'
_cell_length_a 3.717
_cell_length_b 3.717
_cell_length_c 5.688
_cell_angle_alpha 90.00
_cell_angle_beta 90.00
_cell_angle_gamma 90.00
_space_group_name_H-M_alt 'P 4/m m m'
_space_group_IT_number 123
_space_group_name_Hall '-P 4 2'
loop_
_atom_site_label
_atom_site_type_symbol
_atom_site_fract_x
_atom_site_fract_y
_atom_site_fract_z
Be1 Be 0.000 0.000 0.000
V1 V 0.500 0.500 0.500
Te1 Te 0.500 0.500 0.000
N1 N 0.000 0.500 0.500